(1)
# Ti2CoO2

A relaxed structure of Ti2CoO2 (GGA+U, Alexandria via LeMat-Bulk).

Output
As for the space-group type: No. 127. The energy above the most stable polymorph in this dataset comes out at 0.339 eV per atom. The spin magnetization is 0.0000 μB per atom. The crystal system is tetragonal.

Unit cell a=6.106 b=6.106 c=2.649 alpha=90.00 beta=90.00 gamma=90.00
Fractional positions:
O 0.363 0.863 0.000
O 0.137 0.363 0.000
O 0.637 0.137 0.000
O 0.863 0.637 0.000
Ti 0.669 0.831 0.500
Ti 0.169 0.669 0.500
Ti 0.331 0.169 0.500
Ti 0.831 0.331 0.500
Co 0.000 0.000 0.000
Co 0.500 0.500 0.000


(2)
# Ti3CoO7

A relaxed structure of Ti3CoO7 (GGA+U, Alexandria via LeMat-Bulk).

Output
As for the space-group type: No. 20. The spin magnetization is 0.2741 μB per atom. The value obtained for the raw total energy is -8.33 eV per atom. The crystal system is orthorhombic.

Unit cell a=6.999 b=6.999 c=5.495 alpha=90.00 beta=90.00 gamma=97.62
Each line ends with the local moment (μB).
Fractional positions:
Co 0.098 0.098 0.000  2.69
Co 0.902 0.902 0.500  2.69
O 0.420 0.580 0.250  0.00
O 0.913 0.623 0.496  0.05
O 0.377 0.087 0.004  0.05
O 0.876 0.621 0.029  0.00
O 0.894 0.106 0.250  0.09
O 0.623 0.913 0.504  0.05
O 0.344 0.656 0.750  0.00
O 0.087 0.377 0.996  0.05
O 0.106 0.894 0.750  0.09
O 0.379 0.124 0.471  0.00
O 0.580 0.420 0.750  0.00
O 0.124 0.379 0.529  0.00
O 0.621 0.876 0.971  0.00
O 0.656 0.344 0.250  0.00
Ti 0.410 0.933 0.730  0.03
Ti 0.067 0.590 0.770  0.03
Ti 0.933 0.410 0.270  0.03
Ti 0.590 0.067 0.230  0.03
Ti 0.403 0.403 0.500  0.00
Ti 0.597 0.597 0.000  0.00